Arrangement a

Computed, not measured: an optimized crystal structure of Ho3Sn2Hg at the GGA-PBE level of DFT.

Structure (POSCAR):
```
Ho3Sn2Hg
1.0
-2.0980 5.0413 3.0979
-4.7200 -3.5026 2.5033
6.9543 -3.4102 3.8978
Ho Sn Hg
6 4 2
Direct
0.6375 0.2500 0.0000
0.3625 0.7500 0.0000
0.2785 0.0977 0.3416
0.9369 0.4023 0.6584
0.0631 0.5977 0.3416
0.7215 0.9023 0.6584
0.5570 0.5551 0.3208
0.7638 0.0551 0.3208
0.2362 0.9449 0.6792
0.4430 0.4449 0.6792
0.8761 0.7500 0.0000
0.1239 0.2500 0.0000
```

The symmetry is C2/c.

---

Arrangement b

Computed, not measured: an optimized crystal structure of Ho3Sn2Hg at the GGA-PBE level of DFT.

Structure (POSCAR):
```
Ho3Sn2Hg
1.0
4.6313 0.0000 0.0000
0.0000 11.4966 0.0000
0.0000 0.0000 12.2684
Ho Sn Hg
12 8 4
Direct
0.2500 0.3769 0.0363
0.7500 0.6231 0.9637
0.7500 0.8769 0.4637
0.2500 0.1231 0.5363
0.2500 0.6845 0.2016
0.7500 0.3155 0.7984
0.7500 0.1845 0.2984
0.2500 0.8155 0.7016
0.2500 0.4255 0.3632
0.7500 0.5745 0.6368
0.7500 0.9255 0.1368
0.2500 0.0745 0.8632
0.2500 0.6750 0.4920
0.7500 0.3250 0.5080
0.7500 0.1750 0.0080
0.2500 0.8250 0.9920
0.2500 0.9683 0.3179
0.7500 0.0317 0.6821
0.7500 0.4683 0.1821
0.2500 0.5317 0.8179
0.2500 0.1507 0.1528
0.7500 0.8493 0.8472
0.7500 0.6507 0.3472
0.2500 0.3493 0.6528
```

The symmetry is Pnma.

---

Which is most stable? The ranking, best first, is arrangement b, arrangement a.